(1)
MnTcIr2Au | PBE | optimized geometry

The calculation puts the calculated volume at 21.146 Å³ per atom. The space group is No. 123. The value obtained for the formation energy from the elements is 1204 kJ/mol of formula units.

Unit cell a=4.8826 b=4.8826 c=4.4350 alpha=90.00 beta=90.00 gamma=90.00
Sites, in units of the cell vectors:
Mn 0.0000 0.0000 0.0000
Tc 0.5000 0.5000 0.0000
Ir 0.0000 0.5000 0.5000
Ir 0.5000 0.0000 0.5000
Au 0.0000 0.0000 0.5000

---

(2)
TiMnIrAu | PBE | optimized geometry

The calculation puts the calculated volume at 15.742 Å³ per atom. The space group is No. 216. The value obtained for the formation energy from the elements is -111 kJ/mol of formula units.

Unit cell a=4.4656 b=4.4656 c=4.4656 alpha=60.00 beta=60.00 gamma=60.00
Sites, in units of the cell vectors:
Ti 0.0000 0.0000 0.0000
Mn 0.5000 0.5000 0.5000
Ir 0.2500 0.2500 0.2500
Au 0.7500 0.7500 0.7500

---

(3)
MnZnIrAu | PBE | optimized geometry

The calculation puts the calculated volume at 15.073 Å³ per atom. The space group is No. 216. The value obtained for the formation energy from the elements is -32 kJ/mol of formula units.

Unit cell a=4.4014 b=4.4014 c=4.4014 alpha=60.00 beta=60.00 gamma=60.00
Sites, in units of the cell vectors:
Mn 0.0000 0.0000 0.0000
Zn 0.5000 0.5000 0.5000
Ir 0.2500 0.2500 0.2500
Au 0.7500 0.7500 0.7500

---

(4)
MoIrAu | PBE | optimized geometry

The calculation puts the calculated volume at 16.047 Å³ per atom. The space group is No. 187. The value obtained for the formation energy from the elements is 70 kJ/mol of formula units.

Unit cell a=4.5140 b=4.5140 c=2.7281 alpha=90.00 beta=90.00 gamma=120.00
Sites, in units of the cell vectors:
Mo 0.0000 0.0000 0.0000
Ir 0.3333 0.6667 0.5000
Au 0.6667 0.3333 0.5000

---

(5)
MoIr2Au | PBE | optimized geometry

The calculation puts the calculated volume at 15.505 Å³ per atom. The space group is No. 119. The value obtained for the formation energy from the elements is 55 kJ/mol of formula units.

Unit cell a=4.9281 b=4.9281 c=4.9281 alpha=133.43 beta=133.43 gamma=67.97
Sites, in units of the cell vectors:
Mo 0.0000 0.0000 0.0000
Ir 0.5000 0.5000 0.0000
Ir 0.7500 0.2500 0.5000
Au 0.2500 0.7500 0.5000

---

(6)
Mo2Ir2Au | PBE | optimized geometry

The calculation puts the calculated volume at 17.831 Å³ per atom. The space group is No. 139. The value obtained for the formation energy from the elements is 136 kJ/mol of formula units.

Unit cell a=6.3485 b=6.3485 c=6.3485 alpha=143.70 beta=143.70 gamma=52.28
Sites, in units of the cell vectors:
Mo 0.2500 0.7500 0.5000
Mo 0.7500 0.2500 0.5000
Ir 0.1076 0.1076 0.0000
Ir 0.8924 0.8924 0.0000
Au 0.5000 0.5000 0.0000

---

(7)
MoIr2Au | PBE | optimized geometry

The calculation puts the calculated volume at 15.634 Å³ per atom. The space group is No. 160. The value obtained for the formation energy from the elements is 53 kJ/mol of formula units.

Unit cell a=9.4485 b=9.4485 c=9.4485 alpha=16.95 beta=16.95 gamma=16.95
Sites, in units of the cell vectors:
Mo 0.0000 0.0000 0.0000
Ir 0.2557 0.2557 0.2557
Ir 0.5081 0.5081 0.5081
Au 0.7544 0.7544 0.7544

---

(8)
Mo2Ir2Au | PBE | optimized geometry

The calculation puts the calculated volume at 16.548 Å³ per atom. The space group is No. 127. The value obtained for the formation energy from the elements is 31 kJ/mol of formula units.

Unit cell a=7.7336 b=7.7336 c=2.7667 alpha=90.00 beta=90.00 gamma=90.00
Sites, in units of the cell vectors:
Mo 0.1223 0.3777 0.0000
Mo 0.3777 0.8777 0.0000
Mo 0.6223 0.1223 0.0000
Mo 0.8777 0.6223 0.0000
Ir 0.1659 0.6659 0.5000
Ir 0.3341 0.1659 0.5000
Ir 0.6659 0.8341 0.5000
Ir 0.8341 0.3341 0.5000
Au 0.0000 0.0000 0.0000
Au 0.5000 0.5000 0.0000

---

(9)
MoIr2Au | PBE | optimized geometry

The calculation puts the calculated volume at 15.581 Å³ per atom. The space group is No. 8. The value obtained for the formation energy from the elements is 53 kJ/mol of formula units.

Unit cell a=4.8921 b=4.8921 c=4.8205 alpha=100.01 beta=100.01 gamma=33.32
Sites, in units of the cell vectors:
Mo 0.0000 0.0000 0.0000
Ir 0.4848 0.4848 0.4743
Ir 0.7465 0.7465 0.2193
Au 0.2414 0.2414 0.7241

---

(10)
MoIr2Au | PBE | optimized geometry

The calculation puts the calculated volume at 15.471 Å³ per atom. The space group is No. 139. The value obtained for the formation energy from the elements is 17 kJ/mol of formula units.

Unit cell a=4.8063 b=4.8063 c=4.8063 alpha=130.99 beta=130.99 gamma=71.83
Sites, in units of the cell vectors:
Mo 0.0000 0.0000 0.0000
Ir 0.2500 0.7500 0.5000
Ir 0.7500 0.2500 0.5000
Au 0.5000 0.5000 0.0000

---

(11)
MoIrAu | PBE | optimized geometry

The calculation puts the calculated volume at 15.840 Å³ per atom. The space group is No. 44. The value obtained for the formation energy from the elements is 6 kJ/mol of formula units.

Unit cell a=4.9022 b=4.9022 c=4.9022 alpha=146.25 beta=132.90 gamma=59.19
Sites, in units of the cell vectors:
Mo 0.0000 0.0000 0.0000
Ir 0.3521 0.3521 0.0000
Au 0.6753 0.6753 0.0000

---

(12)
MoIr2Au | PBE | optimized geometry

The calculation puts the calculated volume at 15.819 Å³ per atom. The space group is No. 10. The value obtained for the formation energy from the elements is 120 kJ/mol of formula units.

Unit cell a=2.7437 b=4.6970 c=4.9109 alpha=90.00 beta=91.02 gamma=90.00
Sites, in units of the cell vectors:
Mo 0.0000 0.0000 0.0000
Ir 0.2458 0.5000 0.7567
Ir 0.7542 0.5000 0.2433
Au 0.5000 0.0000 0.5000